No. 1
Here is a geometry-optimized CuTeAs2F structure from Alexandria via LeMat-Bulk. Energies are from PBE.

Lattice parameters (Å, degrees): 4.3576 4.3576 5.3992 90.00 90.00 90.00
Fractional coordinates of all 5 atoms:
Cu 0.0000 0.0000 0.0000
Te 0.5000 0.5000 0.0000
As 0.0000 0.5000 0.5000
As 0.5000 0.0000 0.5000
F 0.5000 0.5000 0.5000

Computed properties:
Crystal system = tetragonal
Energy relative to the elements, uncorrected = 41.6 kJ per mole of atoms
E_tot = -3.2502 eV per atom
Symmetry = P4/mmm (123)

---

No. 2
Here is a geometry-optimized Tl2CuAsF6 structure from Alexandria via LeMat-Bulk. Energies are from PBE.

Lattice parameters (Å, degrees): 6.4628 6.1239 6.1121 63.77 58.21 58.03
Fractional coordinates of all 10 atoms:
Tl 0.2500 0.2500 0.2500
Tl 0.7500 0.7500 0.7500
Cu 0.0000 0.0000 0.0000
As 0.5000 0.5000 0.5000
F 0.2390 0.7610 0.7610
F 0.2739 0.7261 0.2739
F 0.2747 0.2747 0.7253
F 0.7253 0.7253 0.2747
F 0.7261 0.2739 0.7261
F 0.7610 0.2390 0.2390

Computed properties:
Crystal system = orthorhombic
Energy relative to the elements, uncorrected = -166.1 kJ per mole of atoms
E_tot = -4.1921 eV per atom
Symmetry = Fmmm (69)

---

No. 3
Here is a geometry-optimized Tl2Cu3AsF12 structure from Alexandria via LeMat-Bulk. Energies are from PBE.

Lattice parameters (Å, degrees): 8.3401 8.3401 8.3401 49.50 49.50 49.50
Fractional coordinates of all 18 atoms:
Tl 0.0906 0.0906 0.0906
Tl 0.9094 0.9094 0.9094
Cu 0.0000 0.5000 0.5000
Cu 0.5000 0.0000 0.5000
Cu 0.5000 0.5000 0.0000
As 0.5000 0.5000 0.5000
F 0.1680 0.1680 0.5788
F 0.1680 0.5788 0.1680
F 0.2125 0.5737 0.5737
F 0.4212 0.8320 0.8320
F 0.4263 0.4263 0.7875
F 0.4263 0.7875 0.4263
F 0.5737 0.2125 0.5737
F 0.5737 0.5737 0.2125
F 0.5788 0.1680 0.1680
F 0.7875 0.4263 0.4263
F 0.8320 0.4212 0.8320
F 0.8320 0.8320 0.4212

Computed properties:
Crystal system = trigonal
Energy relative to the elements, uncorrected = -172.7 kJ per mole of atoms
E_tot = -4.2414 eV per atom
Symmetry = R-3m (166)